Record 1
The following is a DFT calculation (GGA-PBE) of a relaxed structure of BaAc2SnO5. Values from VASP.

```
&SYSTEM
  ibrav = 0, nat = 18, ntyp = 4
/
ATOMIC_SPECIES
Ba 137.33 Ba.upf
Ac 227.00 Ac.upf
Sn 118.71 Sn.upf
O 16.00 O.upf
ATOMIC_POSITIONS angstrom
Ba 0.0000 0.0000 0.0000
Ba 3.6218 3.6218 0.0000
Ac 1.2645 2.3573 3.2460
Ac 2.3573 5.9791 3.2460
Ac 4.8863 1.2645 3.2460
Ac 5.9791 4.8863 3.2460
Sn 0.0000 3.6218 0.0000
Sn 3.6218 0.0000 0.0000
O 0.0000 0.0000 3.2460
O 1.0681 4.6899 1.6610
O 1.0681 4.6899 4.8310
O 2.5537 1.0681 1.6610
O 2.5537 1.0681 4.8310
O 3.6218 3.6218 3.2460
O 4.6899 6.1755 1.6610
O 4.6899 6.1755 4.8310
O 6.1755 2.5537 1.6610
O 6.1755 2.5537 4.8310
CELL_PARAMETERS angstrom
7.2436 0.0000 0.0000
0.0000 7.2436 0.0000
0.0000 0.0000 6.4920
```

Computed properties:
total magnetic moment	0.00	μB/f.u.
E_form (uncorrected)	-2145	kJ/mol of formula units
space-group type	P4/mbm


Record 2
The following is a DFT calculation (GGA-PBE) of a relaxed structure of Ba3SrAc3O8. Values from VASP.

```
&SYSTEM
  ibrav = 0, nat = 15, ntyp = 4
/
ATOMIC_SPECIES
Ba 137.33 Ba.upf
Sr 87.62 Sr.upf
Ac 227.00 Ac.upf
O 16.00 O.upf
ATOMIC_POSITIONS angstrom
Ba -1.9052 -1.1000 6.3697
Ba -1.9052 1.1000 12.7394
Ba 0.0000 2.2000 6.3697
Sr 0.0000 0.0000 9.5546
Ac -3.8105 0.0000 9.5546
Ac -1.9052 1.1000 3.1849
Ac 1.9052 1.1000 3.1849
O -1.8792 -1.0849 10.8565
O 0.0000 0.0000 4.5996
O 0.0000 -2.1699 8.2527
O -1.8792 1.0849 8.2527
O 1.8792 -1.0850 10.8565
O 0.0000 2.1699 10.8565
O 0.0000 0.0000 14.5096
O 1.8792 1.0850 8.2527
CELL_PARAMETERS angstrom
3.8105 2.2000 6.3697
-3.8105 2.2000 6.3697
0.0000 -4.3999 6.3697
```

Computed properties:
total magnetic moment	0.00	μB/f.u.
E_form (uncorrected)	-3937	kJ/mol of formula units
space-group type	R-3m


Record 3
The following is a DFT calculation (GGA-PBE) of a relaxed structure of Ba2SrAcO4. Values from VASP.

```
&SYSTEM
  ibrav = 0, nat = 8, ntyp = 4
/
ATOMIC_SPECIES
Ba 137.33 Ba.upf
Sr 87.62 Sr.upf
Ac 227.00 Ac.upf
O 16.00 O.upf
ATOMIC_POSITIONS angstrom
Ba 0.0000 0.0000 0.0000
Ba 3.3027 1.9220 0.0000
Sr -1.1012 1.9220 3.1784
Ac 2.2015 0.0000 3.1784
O 0.0401 0.0000 4.5829
O 1.1256 1.9220 1.7994
O 3.2775 1.9220 4.5575
O 4.3630 0.0000 1.7740
CELL_PARAMETERS angstrom
6.6054 0.0000 0.0000
0.0000 3.8440 0.0000
-2.2024 0.0000 6.3568
```

Computed properties:
total magnetic moment	0.00	μB/f.u.
E_form (uncorrected)	-2002	kJ/mol of formula units
space-group type	P2/m